(1)
LiVSi4H2O12 | SCAN | PBEsol geometry

Geometry as CIF:
```
data_LiVSi4H2O12
_chemical_formula_sum 'Li2 V2 Si8 H4 O24'
_cell_length_a 7.237
_cell_length_b 7.970
_cell_length_c 9.085
_cell_angle_alpha 65.24
_cell_angle_beta 89.22
_cell_angle_gamma 89.28
_symmetry_space_group_name_H-M 'P -1'
_symmetry_Int_Tables_number 2
_symmetry_space_group_name_Hall '-P 1'
loop_
_atom_site_label
_atom_site_type_symbol
_atom_site_fract_x
_atom_site_fract_y
_atom_site_fract_z
Li1 Li 0.118 0.294 0.313
V1 V 0.000 0.500 0.500
V2 V 0.500 0.000 0.500
Si1 Si 0.116 0.938 0.342
Si2 Si 0.246 0.896 0.812
Si3 Si 0.254 0.705 0.184
Si4 Si 0.379 0.278 0.671
H1 H 0.310 0.462 0.042
H2 H 0.414 0.288 0.178
O1 O 0.027 0.745 0.473
O2 O 0.043 0.898 0.732
O3 O 0.103 0.554 0.294
O4 O 0.207 0.901 0.194
O5 O 0.231 0.444 0.587
O6 O 0.245 0.734 0.996
O7 O 0.258 0.033 0.421
O8 O 0.278 0.098 0.813
O9 O 0.291 0.345 0.137
O10 O 0.409 0.848 0.711
O11 O 0.464 0.644 0.248
O12 O 0.468 0.204 0.542
```

theoretical density: 2.54 g cm⁻³
energy: -9.63 eV/atom
spin magnetization: 0.000 Bohr magnetons per cell
crystal system: triclinic

---

(2)
Li3TeHO4 | SCAN | PBEsol geometry

Geometry as CIF:
```
data_Li3TeHO4
_chemical_formula_sum 'Li6 Te2 H2 O8'
_cell_length_a 5.407
_cell_length_b 6.342
_cell_length_c 6.422
_cell_angle_alpha 90.00
_cell_angle_beta 114.14
_cell_angle_gamma 90.00
_symmetry_space_group_name_H-M 'P 1 21/m 1'
_symmetry_Int_Tables_number 11
_symmetry_space_group_name_Hall '-P 2yb'
loop_
_atom_site_label
_atom_site_type_symbol
_atom_site_fract_x
_atom_site_fract_y
_atom_site_fract_z
Li1 Li 0.216 0.250 0.152
Li2 Li 0.243 0.517 0.838
Te1 Te 0.334 0.750 0.337
H1 H 0.043 0.250 0.475
O1 O 0.014 0.750 0.691
O2 O 0.048 0.250 0.807
O3 O 0.405 0.525 0.178
```

theoretical density: 3.53 g cm⁻³
energy: -9.85 eV/atom
spin magnetization: 0.000 Bohr magnetons per cell
crystal system: monoclinic

---

(3)
LiTeH5O6 | SCAN | PBEsol geometry

Geometry as CIF:
```
data_LiTeH5O6
_chemical_formula_sum 'Li4 Te4 H20 O24'
_cell_length_a 7.548
_cell_length_b 7.452
_cell_length_c 10.675
_cell_angle_alpha 90.00
_cell_angle_beta 134.98
_cell_angle_gamma 90.00
_symmetry_space_group_name_H-M 'P 1 c 1'
_symmetry_Int_Tables_number 7
_symmetry_space_group_name_Hall 'P -2yc'
loop_
_atom_site_label
_atom_site_type_symbol
_atom_site_fract_x
_atom_site_fract_y
_atom_site_fract_z
Li1 Li 0.000 0.002 0.000
Li2 Li 0.508 0.497 0.018
Te1 Te 0.482 0.007 0.005
Te2 Te 0.985 0.497 0.495
H1 H 0.023 0.430 0.244
H2 H 0.228 0.273 0.002
H3 H 0.260 0.220 0.268
H4 H 0.282 0.261 0.730
H5 H 0.333 0.241 0.572
H6 H 0.649 0.242 0.938
H7 H 0.697 0.256 0.779
H8 H 0.741 0.230 0.248
H9 H 0.750 0.277 0.504
H10 H 0.939 0.069 0.713
O1 O 0.150 0.425 0.235
O2 O 0.156 0.263 0.593
O3 O 0.182 0.083 0.930
O4 O 0.267 0.407 0.046
O5 O 0.303 0.089 0.272
O6 O 0.479 0.233 0.581
O7 O 0.502 0.239 0.928
O8 O 0.695 0.095 0.243
O9 O 0.717 0.409 0.468
O10 O 0.793 0.073 0.577
O11 O 0.825 0.264 0.916
O12 O 0.832 0.419 0.270
```

theoretical density: 3.68 g cm⁻³
energy: -8.48 eV/atom
spin magnetization: 0.003 Bohr magnetons per cell
crystal system: monoclinic

---

(4)
Li4H6Os | SCAN | PBEsol geometry

Geometry as CIF:
```
data_Li4H6Os
_chemical_formula_sum 'Li24 H36 Os6'
_cell_length_a 8.0968
_cell_length_b 8.0968
_cell_length_c 9.9868
_cell_angle_alpha 90.00
_cell_angle_beta 90.00
_cell_angle_gamma 120.00
_symmetry_space_group_name_H-M 'R -3 c'
_symmetry_Int_Tables_number 167
_symmetry_space_group_name_Hall '-R 3 2"c'
loop_
_atom_site_label
_atom_site_type_symbol
_atom_site_fract_x
_atom_site_fract_y
_atom_site_fract_z
Li1 Li 0.0000 0.0000 0.2500
Li2 Li 0.0000 0.3874 0.2500
H1 H 0.0425 0.1906 0.4004
Os1 Os 0.0000 0.0000 0.0000
```

theoretical density: 3.94 g cm⁻³
energy: -9.79 eV/atom
spin magnetization: 0.010 Bohr magnetons per cell
crystal system: trigonal

---

(5)
LiPH | SCAN | PBEsol geometry

Geometry as CIF:
```
data_LiPH
_chemical_formula_sum 'Li4 P4 H4'
_cell_length_a 4.859
_cell_length_b 6.757
_cell_length_c 5.528
_cell_angle_alpha 90.00
_cell_angle_beta 115.78
_cell_angle_gamma 90.00
_symmetry_space_group_name_H-M 'C 1 2 1'
_symmetry_Int_Tables_number 5
_symmetry_space_group_name_Hall 'C 2y'
loop_
_atom_site_label
_atom_site_type_symbol
_atom_site_fract_x
_atom_site_fract_y
_atom_site_fract_z
Li1 Li 0.000 0.000 0.000
Li2 Li 0.000 0.136 0.500
P1 P 0.187 0.340 0.207
H1 H 0.110 0.695 0.830
```

theoretical density: 1.58 g cm⁻³
energy: -5.79 eV/atom
spin magnetization: 0.000 Bohr magnetons per cell
crystal system: monoclinic

---

(6)
LiP2HS | SCAN | PBEsol geometry

Geometry as CIF:
```
data_LiP2HS
_chemical_formula_sum 'Li1 P2 H1 S1'
_cell_length_a 4.237
_cell_length_b 4.237
_cell_length_c 4.166
_cell_angle_alpha 90.00
_cell_angle_beta 90.00
_cell_angle_gamma 90.00
_symmetry_space_group_name_H-M 'P 4/m m m'
_symmetry_Int_Tables_number 123
_symmetry_space_group_name_Hall '-P 4 2'
loop_
_atom_site_label
_atom_site_type_symbol
_atom_site_fract_x
_atom_site_fract_y
_atom_site_fract_z
Li1 Li 0.000 0.000 0.000
P1 P 0.000 0.500 0.000
H1 H 0.500 0.500 0.500
S1 S 0.000 0.000 0.500
```

theoretical density: 2.26 g cm⁻³
energy: -6.01 eV/atom
spin magnetization: 0.558 Bohr magnetons per cell
crystal system: tetragonal